Crystalline BaCaZn2Cu at its relaxed geometry, computed with PBE.

```
BaCaZn2Cu
1.0
4.982 0.000 0.000
0.000 4.982 0.000
0.000 0.000 5.289
Zn Ca Ba Cu
2 1 1 1
Direct
0.000 0.500 0.000
0.500 0.000 0.000
0.000 0.000 0.500
0.500 0.500 0.500
0.000 0.000 0.000
```

Calculated values
formation enthalpy at 0 K = 0.0066 eV/atom
V = 131 Å³ per cell

=====

Crystalline BeSnN2 at its relaxed geometry, computed with PBE.

```
BeSnN2
1.0
3.102 0.000 0.937
1.409 2.763 0.937
0.039 0.025 5.473
Be Sn N
1 1 2
Direct
0.241 0.686 0.176
0.734 0.179 0.695
0.127 0.572 0.517
0.603 0.048 0.090
```

Calculated values
V = 47 Å³ per cell
E_form (uncorrected) = -0.118 eV/atom